(1)
The following is a PBE-GGA calculation of an optimized crystal structure of YFe6B, from the Alexandria database.

CIF file:
```
data_YFe6B
_chemical_formula_sum 'Y2 Fe12 B2'
_space_group_name_H-M_alt 'C 1 2/m 1'
_space_group_IT_number 12
_space_group_name_Hall '-C 2y'
_cell_length_a 11.205
_cell_length_b 3.675
_cell_length_c 5.101
_cell_angle_alpha 90.00
_cell_angle_beta 102.85
_cell_angle_gamma 90.00
loop_
_atom_site_label
_atom_site_type_symbol
_atom_site_fract_x
_atom_site_fract_y
_atom_site_fract_z
Y1 Y 0.000 0.000 0.000
Fe1 Fe 0.109 0.000 0.564
Fe2 Fe 0.178 0.500 0.344
Fe3 Fe 0.203 0.500 0.860
B1 B 0.000 0.500 0.500
```

Calculated values
**Energy relative to the elements**: 20 meV per atom
**Total magnetization**: 12.08 μB/f.u.
**Calculated total energy**: -7.970 eV per atom

=====

(2)
The following is a PBE-GGA calculation of an optimized crystal structure of YZnFeB2, from the Alexandria database.

CIF file:
```
data_YZnFeB2
_chemical_formula_sum 'Y1 Zn1 Fe1 B2'
_space_group_name_H-M_alt 'P 4/m m m'
_space_group_IT_number 123
_space_group_name_Hall '-P 4 2'
_cell_length_a 4.488
_cell_length_b 4.488
_cell_length_c 5.226
_cell_angle_alpha 90.00
_cell_angle_beta 90.00
_cell_angle_gamma 90.00
loop_
_atom_site_label
_atom_site_type_symbol
_atom_site_fract_x
_atom_site_fract_y
_atom_site_fract_z
Y1 Y 0.000 0.000 0.000
Zn1 Zn 0.000 0.000 0.500
Fe1 Fe 0.500 0.500 0.500
B1 B 0.000 0.500 0.000
```

Calculated values
**Energy relative to the elements**: 2429 meV per atom
**Total magnetization**: 0.33 μB/f.u.
**Calculated total energy**: -3.482 eV per atom

=====

(3)
The following is a PBE-GGA calculation of an optimized crystal structure of YbFeB4, from the Alexandria database.

CIF file:
```
data_YbFeB4
_chemical_formula_sum 'Yb4 Fe4 B16'
_space_group_name_H-M_alt 'P b a m'
_space_group_IT_number 55
_space_group_name_Hall '-P 2 2ab'
_cell_length_a 5.884
_cell_length_b 11.384
_cell_length_c 3.311
_cell_angle_alpha 90.00
_cell_angle_beta 90.00
_cell_angle_gamma 90.00
loop_
_atom_site_label
_atom_site_type_symbol
_atom_site_fract_x
_atom_site_fract_y
_atom_site_fract_z
Yb1 Yb 0.126 0.151 0.000
Fe1 Fe 0.129 0.415 0.000
B1 B 0.025 0.691 0.500
B2 B 0.112 0.547 0.500
B3 B 0.138 0.968 0.500
B4 B 0.219 0.816 0.500
```

Calculated values
**Energy relative to the elements**: -509 meV per atom
**Total magnetization**: 0.17 μB/f.u.
**Calculated total energy**: -6.626 eV per atom

=====

(4)
The following is a PBE-GGA calculation of an optimized crystal structure of ZnFeB2, from the Alexandria database.

CIF file:
```
data_ZnFeB2
_chemical_formula_sum 'Zn4 Fe4 B8'
_space_group_name_H-M_alt 'I 41/a m d'
_space_group_IT_number 141
_cell_length_a 3.461
_cell_length_b 3.461
_cell_length_c 14.525
_cell_angle_alpha 90.00
_cell_angle_beta 90.00
_cell_angle_gamma 90.00
loop_
_space_group_symop_operation_xyz
'x,y,z'
'-x,-y,-z'
'-y+1/4,x+3/4,z+1/4'
'y+1/4,-x+3/4,-z+1/4'
'-x+1/2,-y,z+1/2'
'x+1/2,y,-z+1/2'
'y+1/4,-x+1/4,z+3/4'
'-y+1/4,x+1/4,-z+3/4'
'x,-y,-z'
'-x,y,z'
'-y+1/4,-x+1/4,-z+3/4'
'y+1/4,x+1/4,z+3/4'
'-x+1/2,y,-z+1/2'
'x+1/2,-y,z+1/2'
'y+1/4,x+3/4,-z+1/4'
'-y+1/4,-x+3/4,z+1/4'
'x+1/2,y+1/2,z+1/2'
'-x+1/2,-y+1/2,-z+1/2'
'-y+3/4,x+1/4,z+3/4'
'y+3/4,-x+1/4,-z+3/4'
'-x,-y+1/2,z'
'x,y+1/2,-z'
'y+3/4,-x+3/4,z+1/4'
'-y+3/4,x+3/4,-z+1/4'
'x+1/2,-y+1/2,-z+1/2'
'-x+1/2,y+1/2,z+1/2'
'-y+3/4,-x+3/4,-z+1/4'
'y+3/4,x+3/4,z+1/4'
'-x,y+1/2,-z'
'x,-y+1/2,z'
'y+3/4,x+1/4,-z+3/4'
'-y+3/4,-x+1/4,z+3/4'
loop_
_atom_site_label
_atom_site_type_symbol
_atom_site_fract_x
_atom_site_fract_y
_atom_site_fract_z
Zn1 Zn 0.000 0.250 0.375
Fe1 Fe 0.000 0.250 0.875
B1 B 0.000 0.000 0.000
```

Calculated values
**Energy relative to the elements**: 334 meV per atom
**Total magnetization**: 1.54 μB/f.u.
**Calculated total energy**: -5.439 eV per atom

=====

(5)
The following is a PBE-GGA calculation of an optimized crystal structure of ZnFeB, from the Alexandria database.

CIF file:
```
data_ZnFeB
_chemical_formula_sum 'Zn4 Fe4 B4'
_space_group_name_H-M_alt 'C 1 2/m 1'
_space_group_IT_number 12
_space_group_name_Hall '-C 2y'
_cell_length_a 7.506
_cell_length_b 2.694
_cell_length_c 6.568
_cell_angle_alpha 90.00
_cell_angle_beta 109.19
_cell_angle_gamma 90.00
loop_
_atom_site_label
_atom_site_type_symbol
_atom_site_fract_x
_atom_site_fract_y
_atom_site_fract_z
Zn1 Zn 0.108 0.000 0.391
Fe1 Fe 0.235 0.000 0.840
B1 B 0.042 0.500 0.890
```

Calculated values
**Energy relative to the elements**: 77 meV per atom
**Total magnetization**: 0.47 μB/f.u.
**Calculated total energy**: -5.395 eV per atom

=====

(6)
The following is a PBE-GGA calculation of an optimized crystal structure of Zn2Fe2B, from the Alexandria database.

CIF file:
```
data_Zn2Fe2B
_chemical_formula_sum 'Zn4 Fe4 B2'
_space_group_name_H-M_alt 'P 4/m b m'
_space_group_IT_number 127
_space_group_name_Hall '-P 4 2ab'
_cell_length_a 5.283
_cell_length_b 5.283
_cell_length_c 4.121
_cell_angle_alpha 90.00
_cell_angle_beta 90.00
_cell_angle_gamma 90.00
loop_
_atom_site_label
_atom_site_type_symbol
_atom_site_fract_x
_atom_site_fract_y
_atom_site_fract_z
Zn1 Zn 0.164 0.336 0.000
Fe1 Fe 0.155 0.655 0.500
B1 B 0.000 0.000 0.500
```

Calculated values
**Energy relative to the elements**: -7 meV per atom
**Total magnetization**: 2.56 μB/f.u.
**Calculated total energy**: -5.237 eV per atom
**E above lowest polymorph**: 0.000 eV/atom

=====

(7)
The following is a PBE-GGA calculation of an optimized crystal structure of Zn2FeB, from the Alexandria database.

CIF file:
```
data_Zn2FeB
_chemical_formula_sum 'Zn8 Fe4 B4'
_space_group_name_H-M_alt 'I -4 2 d'
_space_group_IT_number 122
_space_group_name_Hall 'I -4 2bw'
_cell_length_a 3.338
_cell_length_b 3.338
_cell_length_c 17.497
_cell_angle_alpha 90.00
_cell_angle_beta 90.00
_cell_angle_gamma 90.00
loop_
_atom_site_label
_atom_site_type_symbol
_atom_site_fract_x
_atom_site_fract_y
_atom_site_fract_z
Zn1 Zn 0.247 0.250 0.125
Fe1 Fe 0.000 0.000 0.500
B1 B 0.000 0.000 0.000
```

Calculated values
**Energy relative to the elements**: 696 meV per atom
**Total magnetization**: 1.70 μB/f.u.
**Calculated total energy**: -3.726 eV per atom

=====

(8)
The following is a PBE-GGA calculation of an optimized crystal structure of Zn2Fe2B, from the Alexandria database.

CIF file:
```
data_Zn2Fe2B
_chemical_formula_sum 'Zn4 Fe4 B2'
_space_group_name_H-M_alt 'I 4/m m m'
_space_group_IT_number 139
_space_group_name_Hall '-I 4 2'
_cell_length_a 3.154
_cell_length_b 3.154
_cell_length_c 12.915
_cell_angle_alpha 90.00
_cell_angle_beta 90.00
_cell_angle_gamma 90.00
loop_
_atom_site_label
_atom_site_type_symbol
_atom_site_fract_x
_atom_site_fract_y
_atom_site_fract_z
Zn1 Zn 0.000 0.500 0.250
Fe1 Fe 0.000 0.000 0.083
B1 B 0.000 0.000 0.500
```

Calculated values
**Energy relative to the elements**: 763 meV per atom
**Total magnetization**: 4.37 μB/f.u.
**Calculated total energy**: -4.467 eV per atom
**E above lowest polymorph**: 0.770 eV/atom

=====

(9)
The following is a PBE-GGA calculation of an optimized crystal structure of Zn2Fe5B2, from the Alexandria database.

CIF file:
```
data_Zn2Fe5B2
_chemical_formula_sum 'Zn8 Fe20 B8'
_space_group_name_H-M_alt 'C m c e'
_space_group_IT_number 64
_space_group_name_Hall '-C 2ac 2'
_cell_length_a 13.051
_cell_length_b 5.458
_cell_length_c 5.429
_cell_angle_alpha 90.00
_cell_angle_beta 90.00
_cell_angle_gamma 90.00
loop_
_atom_site_label
_atom_site_type_symbol
_atom_site_fract_x
_atom_site_fract_y
_atom_site_fract_z
Zn1 Zn 0.230 0.000 0.000
Fe1 Fe 0.000 0.000 0.000
Fe2 Fe 0.105 0.175 0.323
B1 B 0.000 0.117 0.616
```

Calculated values
**Energy relative to the elements**: -138 meV per atom
**Total magnetization**: 9.01 μB/f.u.
**Calculated total energy**: -6.607 eV per atom

=====

(10)
The following is a PBE-GGA calculation of an optimized crystal structure of Zr3Fe3B8, from the Alexandria database.

CIF file:
```
data_Zr3Fe3B8
_chemical_formula_sum 'Zr6 Fe6 B16'
_space_group_name_H-M_alt 'I m m m'
_space_group_IT_number 71
_space_group_name_Hall '-I 2 2'
_cell_length_a 3.177
_cell_length_b 7.405
_cell_length_c 12.067
_cell_angle_alpha 90.00
_cell_angle_beta 90.00
_cell_angle_gamma 90.00
loop_
_atom_site_label
_atom_site_type_symbol
_atom_site_fract_x
_atom_site_fract_y
_atom_site_fract_z
Zr1 Zr 0.000 0.000 0.000
Zr2 Zr 0.000 0.000 0.287
Fe1 Fe 0.000 0.214 0.500
Fe2 Fe 0.000 0.500 0.000
B1 B 0.000 0.257 0.127
B2 B 0.000 0.368 0.358
```

Calculated values
**Energy relative to the elements**: -377 meV per atom
**Total magnetization**: 4.41 μB/f.u.
**Calculated total energy**: -7.837 eV per atom

=====

(11)
The following is a PBE-GGA calculation of an optimized crystal structure of ZrFeB3, from the Alexandria database.

CIF file:
```
data_ZrFeB3
_chemical_formula_sum 'Zr1 Fe1 B3'
_space_group_name_H-M_alt 'P m -3 m'
_space_group_IT_number 221
_space_group_name_Hall '-P 4 2 3'
_cell_length_a 3.761
_cell_length_b 3.761
_cell_length_c 3.761
_cell_angle_alpha 90.00
_cell_angle_beta 90.00
_cell_angle_gamma 90.00
loop_
_atom_site_label
_atom_site_type_symbol
_atom_site_fract_x
_atom_site_fract_y
_atom_site_fract_z
Zr1 Zr 0.000 0.000 0.000
Fe1 Fe 0.500 0.500 0.500
B1 B 0.000 0.500 0.500
```

Calculated values
**Energy relative to the elements**: 139 meV per atom
**Total magnetization**: 0.00 μB/f.u.
**Calculated total energy**: -7.270 eV per atom

=====

(12)
The following is a PBE-GGA calculation of an optimized crystal structure of Zr2FeB, from the Alexandria database.

CIF file:
```
data_Zr2FeB
_chemical_formula_sum 'Zr8 Fe4 B4'
_space_group_name_H-M_alt 'I -4 2 d'
_space_group_IT_number 122
_space_group_name_Hall 'I -4 2bw'
_cell_length_a 6.701
_cell_length_b 6.701
_cell_length_c 6.064
_cell_angle_alpha 90.00
_cell_angle_beta 90.00
_cell_angle_gamma 90.00
loop_
_atom_site_label
_atom_site_type_symbol
_atom_site_fract_x
_atom_site_fract_y
_atom_site_fract_z
Zr1 Zr 0.217 0.750 0.125
Fe1 Fe 0.000 0.000 0.500
B1 B 0.000 0.000 0.000
```

Calculated values
**Energy relative to the elements**: 385 meV per atom
**Total magnetization**: 1.91 μB/f.u.
**Calculated total energy**: -7.674 eV per atom